This record from Alexandria via LeMat-Bulk describes a relaxed VAg2O3F crystal. The functional is GGA+U. Values from VASP.

Cell and atoms, written as Quantum ESPRESSO input:
```
&SYSTEM
  ibrav = 0, nat = 56, ntyp = 4
/
ATOMIC_SPECIES
V 50.94 V.upf
Ag 107.87 Ag.upf
O 16.00 O.upf
F 19.00 F.upf
ATOMIC_POSITIONS crystal
V 0.6995 0.2326 0.4121
V 0.2171 0.4856 0.7139
V 0.1995 0.2674 0.9121
V 0.7829 0.5144 0.2861
V 0.7171 0.0144 0.2139
V 0.3005 0.7674 0.5879
V 0.8005 0.7326 0.0879
V 0.2829 0.9856 0.7861
Ag 0.7484 0.0444 0.9343
Ag 0.2835 0.0234 0.4163
Ag 0.2516 0.9556 0.0657
Ag 0.6695 0.3037 0.0874
Ag 0.8305 0.8037 0.4126
Ag 0.1955 0.2439 0.2256
Ag 0.3045 0.7439 0.2744
Ag 0.6955 0.2561 0.7256
Ag 0.3305 0.6963 0.9126
Ag 0.2165 0.5234 0.0837
Ag 0.7516 0.5444 0.5657
Ag 0.2484 0.4556 0.4343
Ag 0.1695 0.1963 0.5874
Ag 0.7165 0.9766 0.5837
Ag 0.7835 0.4766 0.9163
Ag 0.8045 0.7561 0.7744
O 0.0146 0.6005 0.3341
O 0.2020 0.8327 0.4703
O 0.5146 0.8995 0.8341
O 0.2970 0.1089 0.9042
O 0.7020 0.6673 0.9703
O 0.7030 0.8911 0.0958
O 0.9124 0.4162 0.1972
O 0.6749 0.6475 0.1904
O 0.2980 0.3327 0.0297
O 0.1749 0.8525 0.6904
O 0.5876 0.9162 0.3028
O 0.4124 0.0838 0.6972
O 0.0876 0.5838 0.8028
O 0.2030 0.6089 0.5958
O 0.3958 0.2222 0.4011
O 0.7970 0.3911 0.4042
O 0.4854 0.1005 0.1659
O 0.3251 0.3525 0.8096
O 0.9854 0.3995 0.6659
O 0.7980 0.1673 0.5297
O 0.8958 0.2778 0.9011
O 0.1042 0.7222 0.0989
O 0.6042 0.7778 0.5989
O 0.8251 0.1475 0.3096
F 0.0376 0.9413 0.2442
F 0.5745 0.6127 0.3952
F 0.0745 0.8873 0.8952
F 0.5376 0.5587 0.7442
F 0.4624 0.4413 0.2558
F 0.4255 0.3873 0.6048
F 0.9624 0.0587 0.7558
F 0.9255 0.1127 0.1048
CELL_PARAMETERS angstrom
-0.8434 5.0588 2.5824
-10.4017 -1.6992 -0.0685
0.9017 -5.9776 11.3530
```

Summary:
The crystal system is monoclinic. Its space-group type is P2_1/c, No. 14. Its total energy is -308.365 eV/cell.